[1]
Be2AsAu2 | GGA-PBE | relaxed

Geometry as POSCAR:
```
Be2AsAu2
1.0
7.283 0.000 0.000
0.000 7.283 0.000
0.000 0.000 2.784
Be As Au
4 2 4
Cartesian
4.722 6.203 1.392
2.561 1.080 1.392
6.203 2.561 1.392
1.080 4.722 1.392
3.642 3.642 0.000
0.000 0.000 0.000
6.216 4.708 0.000
4.708 1.067 0.000
1.067 2.575 0.000
2.575 6.216 0.000
```

Its energy above the most stable polymorph in this dataset is 85 meV per atom. The energy relative to the elements comes out at 0.0843 eV per atom. The calculated volume comes out at 147.7 Å³ per cell. The calculation puts the total moment at 0.0 μB per cell.



[2]
BeAs4Au | GGA-PBE | relaxed

Geometry as POSCAR:
```
BeAs4Au
1.0
0.939 0.074 5.411
-3.922 -1.614 3.490
0.549 -4.718 2.757
Au As Be
1 4 1
Cartesian
-1.825 -4.694 8.743
-2.872 -3.154 6.116
-0.443 -2.310 7.076
-0.638 -4.705 5.750
-0.913 -2.347 4.372
0.000 0.000 0.000
```

The energy relative to the elements comes out at 0.7440 eV per atom. The calculated volume comes out at 117.1 Å³ per cell. The calculation puts the total moment at 0.0 μB per cell.



[3]
BeAs2Au | GGA-PBE | relaxed

Geometry as POSCAR:
```
BeAs2Au
1.0
2.894 0.000 0.000
0.000 2.894 0.000
0.000 0.000 8.116
As Au Be
2 1 1
Cartesian
0.000 0.000 4.563
0.000 0.000 7.611
1.447 1.447 2.029
1.447 1.447 6.087
```

The energy relative to the elements comes out at 0.3627 eV per atom. The calculated volume comes out at 68.0 Å³ per cell. The calculation puts the total moment at 0.0 μB per cell.



[4]
BeAsAu2 | GGA-PBE | relaxed

Geometry as POSCAR:
```
BeAsAu2
1.0
-0.429 3.856 -1.570
-3.985 -0.837 -0.967
-4.556 4.231 6.057
As Au Be
2 4 2
Cartesian
0.000 0.000 0.000
-3.596 4.798 1.609
-5.152 4.289 3.572
-3.692 1.094 0.682
-1.897 3.286 0.444
-7.199 5.832 2.342
-5.374 2.452 1.911
-2.207 1.509 -1.269
```

Its energy above the most stable polymorph in this dataset is 124 meV per atom. The energy relative to the elements comes out at 0.1687 eV per atom. The calculated volume comes out at 142.9 Å³ per cell. The calculation puts the total moment at 0.0 μB per cell.



[5]
BeAs2Au | GGA-PBE | relaxed

Geometry as POSCAR:
```
BeAs2Au
1.0
-6.891 4.319 -3.285
-8.306 2.080 -1.902
-7.509 4.518 -0.368
Au As Be
1 2 1
Cartesian
-5.676 2.729 -1.389
-0.349 0.168 -0.085
-11.004 5.291 -2.692
-17.029 8.187 -4.166
```

The energy relative to the elements comes out at 0.3074 eV per atom. The calculated volume comes out at 66.5 Å³ per cell. The calculation puts the total moment at 0.0 μB per cell.



[6]
BeAs2Au | GGA-PBE | relaxed

Geometry as POSCAR:
```
BeAs2Au
1.0
-0.941 -3.463 0.387
2.281 -0.915 -2.643
3.873 -0.653 3.568
Be Au As
1 1 2
Cartesian
3.575 -2.679 1.548
1.638 -2.352 -0.236
3.773 -0.636 3.476
2.037 -0.343 1.876
```

The energy relative to the elements comes out at 0.3679 eV per atom. The calculated volume comes out at 69.1 Å³ per cell. The calculation puts the total moment at 0.0 μB per cell.



[7]
BeAs3Au | GGA-PBE | relaxed

Geometry as POSCAR:
```
BeAs3Au
1.0
5.031 0.000 0.000
0.000 5.031 0.000
0.000 0.000 5.031
As Au Be
3 1 1
Cartesian
0.000 2.516 0.000
0.000 0.000 2.516
2.516 0.000 0.000
0.000 0.000 0.000
2.516 2.516 2.516
```

Its energy above the most stable polymorph in this dataset is 760 meV per atom. The energy relative to the elements comes out at 1.3078 eV per atom. The calculated volume comes out at 127.3 Å³ per cell. The calculation puts the total moment at 0.0 μB per cell.



[8]
BeAs2Au | GGA-PBE | relaxed

Geometry as POSCAR:
```
BeAs2Au
1.0
-3.150 -1.404 -2.061
-3.667 -1.492 0.686
-3.692 6.008 -0.501
As Au Be
2 1 1
Cartesian
-6.496 -2.231 -1.293
-8.398 2.023 -1.514
-5.699 1.234 -1.032
-1.987 0.747 -0.350
```

The energy relative to the elements comes out at 0.0762 eV per atom. The calculated volume comes out at 73.5 Å³ per cell. The calculation puts the total moment at 0.0 μB per cell.



[9]
BeAsAu2 | GGA-PBE | relaxed

Geometry as POSCAR:
```
BeAsAu2
1.0
5.037 0.000 0.000
1.926 4.654 0.000
-3.482 -2.327 2.799
Au Be As
2 1 1
Cartesian
0.963 2.327 1.399
0.000 0.000 0.000
3.482 2.327 0.000
2.518 0.000 1.399
```

Its energy above the most stable polymorph in this dataset is 209 meV per atom. The energy relative to the elements comes out at 0.2529 eV per atom. The calculated volume comes out at 65.6 Å³ per cell. The calculation puts the total moment at 0.0 μB per cell.



[10]
BeAs2Au | GGA-PBE | relaxed

Geometry as POSCAR:
```
BeAs2Au
1.0
6.235 -0.008 -0.030
5.447 3.035 -0.030
1.304 0.338 3.739
As Au Be
2 1 1
Cartesian
10.745 2.784 0.252
7.429 1.925 1.528
9.739 2.524 2.760
3.246 0.841 0.920
```

The energy relative to the elements comes out at 0.1456 eV per atom. The calculated volume comes out at 71.0 Å³ per cell. The calculation puts the total moment at 0.0 μB per cell.



[11]
Be2BiAsAu | GGA-PBE | relaxed

Geometry as POSCAR:
```
Be2BiAsAu
1.0
4.568 0.000 0.000
0.000 5.827 0.000
0.000 0.000 4.568
As Au Bi Be
1 1 1 2
Cartesian
0.000 2.914 0.000
2.284 2.914 2.284
0.000 0.000 0.000
0.000 0.000 2.284
2.284 0.000 0.000
```

The energy relative to the elements comes out at 1.2930 eV per atom. The calculated volume comes out at 121.6 Å³ per cell. The calculation puts the total moment at 0.0 μB per cell.



[12]
BeAsAu2Cl | GGA-PBE | relaxed

Geometry as POSCAR:
```
BeAsAu2Cl
1.0
4.795 0.000 0.000
0.000 4.166 0.000
0.000 0.000 4.795
Cl As Au Be
1 1 2 1
Cartesian
2.397 2.083 2.397
0.000 2.083 0.000
0.000 0.000 2.397
2.397 0.000 0.000
0.000 0.000 0.000
```

The value obtained for the formation energy (no corrections) is 0.39 eV per atom. The calculated volume comes out at 95.8 Å³ per cell. The calculation puts the total moment at 0.0 μB per cell.



Please write out number 12 again, unchanged.
BeAsAu2Cl | GGA-PBE | relaxed

Geometry as POSCAR:
```
BeAsAu2Cl
1.0
4.795 0.000 0.000
0.000 4.166 0.000
0.000 0.000 4.795
Cl As Au Be
1 1 2 1
Cartesian
2.397 2.083 2.397
0.000 2.083 0.000
0.000 0.000 2.397
2.397 0.000 0.000
0.000 0.000 0.000
```

The value obtained for the formation energy (no corrections) is 0.39 eV per atom. The calculated volume comes out at 95.8 Å³ per cell. The calculation puts the total moment at 0.0 μB per cell.



Repeat the seventh record exactly.
BeAs3Au | GGA-PBE | relaxed

Geometry as POSCAR:
```
BeAs3Au
1.0
5.031 0.000 0.000
0.000 5.031 0.000
0.000 0.000 5.031
As Au Be
3 1 1
Cartesian
0.000 2.516 0.000
0.000 0.000 2.516
2.516 0.000 0.000
0.000 0.000 0.000
2.516 2.516 2.516
```

Its energy above the most stable polymorph in this dataset is 760 meV per atom. The energy relative to the elements comes out at 1.3078 eV per atom. The calculated volume comes out at 127.3 Å³ per cell. The calculation puts the total moment at 0.0 μB per cell.



Q: total moment of number 12 (BeAsAu2Cl)?
A: 0.0 μB per cell



Q: What is the calculated volume in the ninth record?
A: 65.6 Å³ per cell